# 1
## Ti2Pd (GGA-PBEsol)

Data for a relaxed Ti2Pd crystal.

The space group is I4/mmm (No. 139) and the conventional cell measures 3.081, 3.081 and 9.779 Å, with angles of 90.00, 90.00 and 90.00 degrees. The inequivalent atoms are Ti at (0.000, 0.000, 0.164) and Pd at (0.000, 0.000, 0.500).

The energy of formation comes out at -0.45 eV per atom.

# 2
## YSe (GGA-PBEsol)

Data for a relaxed YSe crystal.

The space group is P6_3mc (No. 186) and the conventional cell measures 4.0882, 4.0882 and 8.3701 Å, with angles of 90.00, 90.00 and 120.00 degrees. The inequivalent atoms are Y at (0.3333, 0.6667, 0.0000) and Se at (0.3333, 0.6667, 0.3263).

The uncorrected formation energy is -1.3074 eV/atom.

# 3
## Cd2InHg (GGA-PBEsol)

Data for a relaxed Cd2InHg crystal.

The space group is Pmmm (No. 47) and the conventional cell measures 4.436, 4.456 and 4.460 Å, with angles of 90.00, 90.00 and 90.00 degrees. The inequivalent atoms are Cd at (0.000, 0.000, 0.000), Cd at (0.500, 0.000, 0.500), In at (0.000, 0.500, 0.500) and Hg at (0.500, 0.500, 0.000).

The energy of formation comes out at 0.01 eV per atom. The polymorph energy (0 for the lowest one) comes out at 2 meV per atom.

# 4
## Cu5Au (GGA-PBEsol)

Data for a relaxed Cu5Au crystal.

The space group is P4/mmm (No. 123) and the conventional cell measures 2.746, 2.746 and 9.781 Å, with angles of 90.00, 90.00 and 90.00 degrees. The inequivalent atoms are Cu at (0.000, 0.000, 0.000), Cu at (0.000, 0.000, 0.310), Cu at (0.500, 0.500, 0.154) and Au at (0.500, 0.500, 0.500).

The energy of formation comes out at 0.01 eV per atom. The polymorph energy (0 for the lowest one) comes out at 33 meV per atom.

# 5
## Ca2TcW (GGA-PBEsol)

Data for a relaxed Ca2TcW crystal.

The space group is C2/m (No. 12) and the conventional cell measures 5.462, 10.112 and 2.750 Å, with angles of 90.00, 90.72 and 90.00 degrees. The inequivalent atoms are Ca at (0.250, 0.250, 0.000), Tc at (0.000, 0.000, 0.500) and W at (0.000, 0.500, 0.500).

The energy of formation comes out at 0.87 eV per atom. The polymorph energy (0 for the lowest one) comes out at 518 meV per atom.

# 6
## Ca2HfHgMo (GGA-PBEsol)

Data for a relaxed Ca2HfHgMo crystal.

The space group is P4/mmm (No. 123) and the conventional cell measures 5.482, 5.482 and 5.284 Å, with angles of 90.00, 90.00 and 90.00 degrees. The inequivalent atoms are Ca at (0.000, 0.500, 0.000), Hf at (0.000, 0.000, 0.500), Hg at (0.000, 0.000, 0.000) and Mo at (0.500, 0.500, 0.500).

The energy of formation comes out at 1.25 eV per atom.

# 7
## Li3PF (GGA-PBEsol)

Data for a relaxed Li3PF crystal.

The space group is Pm-3m (No. 221) and the conventional cell measures 4.654, 4.654 and 4.654 Å, with angles of 90.00, 90.00 and 90.00 degrees. The inequivalent atoms are Li at (0.000, 0.000, 0.500), P at (0.000, 0.000, 0.000) and F at (0.500, 0.500, 0.500).

The uncorrected formation energy is -0.6460 eV/atom. The polymorph energy (0 for the lowest one) comes out at 750 meV per atom.

# 8
## SnBP3 (GGA-PBEsol)

Data for a relaxed SnBP3 crystal.

The space group is Pm-3m (No. 221) and the conventional cell measures 4.973, 4.973 and 4.973 Å, with angles of 90.00, 90.00 and 90.00 degrees. The inequivalent atoms are Sn at (0.000, 0.000, 0.000), B at (0.500, 0.500, 0.500) and P at (0.000, 0.000, 0.500).

The energy of formation comes out at 2.09 eV per atom.

# 9
## AsWSe2 (GGA-PBEsol)

Data for a relaxed AsWSe2 crystal.

The space group is I-4m2 (No. 119) and the conventional cell measures 4.239, 4.239 and 7.447 Å, with angles of 90.00, 90.00 and 90.00 degrees. The inequivalent atoms are As at (0.000, 0.000, 0.000), W at (0.000, 0.500, 0.750), Se at (0.000, 0.000, 0.500) and Se at (0.000, 0.500, 0.250).

The uncorrected formation energy is 0.5946 eV/atom.

# 10
## Zr2ZnPt (GGA-PBEsol)

Data for a relaxed Zr2ZnPt crystal.

The space group is P4/mmm (No. 123) and the conventional cell measures 3.370, 3.370 and 6.310 Å, with angles of 90.00, 90.00 and 90.00 degrees. The inequivalent atoms are Zr at (0.000, 0.000, 0.249), Zn at (0.500, 0.500, 0.500) and Pt at (0.500, 0.500, 0.000).

The energy of formation comes out at -0.62 eV per atom.

# 11
## BaP2BrO (GGA-PBEsol)

Data for a relaxed BaP2BrO crystal.

The space group is P4/mmm (No. 123) and the conventional cell measures 6.340, 6.340 and 4.449 Å, with angles of 90.00, 90.00 and 90.00 degrees. The inequivalent atoms are Ba at (0.000, 0.000, 0.000), P at (0.000, 0.500, 0.000), Br at (0.500, 0.500, 0.500) and O at (0.000, 0.000, 0.500).

The uncorrected formation energy is 0.8691 eV/atom.

# 12
## MnCr2Ni (GGA-PBEsol)

Data for a relaxed MnCr2Ni crystal.

The space group is Cmmm (No. 65) and the conventional cell measures 4.930, 7.153 and 2.431 Å, with angles of 90.00, 90.00 and 90.00 degrees. The inequivalent atoms are Mn at (0.000, 0.000, 0.000), Cr at (0.250, 0.250, 0.500) and Ni at (0.000, 0.500, 0.000).

The energy of formation comes out at 0.11 eV per atom.

# 13
## KSc2Os (GGA-PBEsol)

Data for a relaxed KSc2Os crystal.

The space group is P4/mmm (No. 123) and the conventional cell measures 3.218, 3.218 and 9.984 Å, with angles of 90.00, 90.00 and 90.00 degrees. The inequivalent atoms are K at (0.000, 0.000, 0.000), Sc at (0.500, 0.500, 0.348) and Os at (0.000, 0.000, 0.500).

The energy of formation comes out at -0.07 eV per atom. The polymorph energy (0 for the lowest one) comes out at 0 meV per atom.

# 14
## BaTlAg2 (GGA-PBEsol)

Data for a relaxed BaTlAg2 crystal.

The space group is P4mm (No. 99) and the conventional cell measures 3.654, 3.654 and 7.609 Å, with angles of 90.00, 90.00 and 90.00 degrees. The inequivalent atoms are Ba at (0.000, 0.000, 0.000), Tl at (0.500, 0.500, 0.330), Ag at (0.000, 0.000, 0.540) and Ag at (0.500, 0.500, 0.707).

The energy of formation comes out at -0.08 eV per atom. The polymorph energy (0 for the lowest one) comes out at 103 meV per atom.

# 15
## CdMo2AsW (GGA-PBEsol)

Data for a relaxed CdMo2AsW crystal.

The space group is P4/mmm (No. 123) and the conventional cell measures 4.784, 4.784 and 4.722 Å, with angles of 90.00, 90.00 and 90.00 degrees. The inequivalent atoms are Cd at (0.000, 0.000, 0.000), Mo at (0.000, 0.500, 0.500), As at (0.500, 0.500, 0.000) and W at (0.500, 0.500, 0.500).

The energy of formation comes out at 1.54 eV per atom.

# 16
## LaIr2Se2 (GGA-PBEsol)

Data for a relaxed LaIr2Se2 crystal.

The space group is I4/mmm (No. 139) and the conventional cell measures 4.013, 4.013 and 11.738 Å, with angles of 90.00, 90.00 and 90.00 degrees. The inequivalent atoms are La at (0.000, 0.000, 0.000), Ir at (0.000, 0.500, 0.250) and Se at (0.000, 0.000, 0.378).

The uncorrected formation energy is -0.4919 eV/atom.

# 17
## Ba2CuTc (GGA-PBEsol)

Data for a relaxed Ba2CuTc crystal.

The space group is P4mm (No. 99) and the conventional cell measures 3.501, 3.501 and 8.921 Å, with angles of 90.00, 90.00 and 90.00 degrees. The inequivalent atoms are Ba at (0.000, 0.000, 0.000), Ba at (0.500, 0.500, 0.429), Cu at (0.500, 0.500, 0.762) and Tc at (0.000, 0.000, 0.684).

The energy of formation comes out at 0.59 eV per atom.

# 18
## CuTe2F (GGA-PBEsol)

Data for a relaxed CuTe2F crystal.

The space group is R-3m (No. 166, hexagonal axes) and the conventional cell measures 3.8645, 3.8645 and 21.8372 Å, with angles of 90.00, 90.00 and 120.00 degrees. The inequivalent atoms are Cu at (0.0000, 0.0000, 0.0000), Te at (0.0000, 0.0000, 0.3953) and F at (0.0000, 0.0000, 0.5000).

The uncorrected formation energy is -0.4320 eV/atom.

# 19
## ZrTaCr2 (GGA-PBEsol)

Data for a relaxed ZrTaCr2 crystal.

The space group is Cmm2 (No. 35) and the conventional cell measures 3.064, 4.592 and 8.682 Å, with angles of 90.00, 90.00 and 90.00 degrees. The inequivalent atoms are Zr at (0.000, 0.000, 0.000), Ta at (0.000, 0.500, 0.698), Cr at (0.000, 0.000, 0.454) and Cr at (0.000, 0.500, 0.264).

The energy of formation comes out at 0.24 eV per atom. The polymorph energy (0 for the lowest one) comes out at 76 meV per atom.

# 20
## LaScTcRh2 (GGA-PBEsol)

Data for a relaxed LaScTcRh2 crystal.

The space group is P4/mmm (No. 123) and the conventional cell measures 4.664, 4.664 and 4.978 Å, with angles of 90.00, 90.00 and 90.00 degrees. The inequivalent atoms are La at (0.000, 0.000, 0.000), Sc at (0.000, 0.000, 0.500), Tc at (0.500, 0.500, 0.500) and Rh at (0.000, 0.500, 0.000).

The energy of formation comes out at 1.54 eV per atom.

# 21
## Zn2AgAu (GGA-PBEsol)

Data for a relaxed Zn2AgAu crystal.

The space group is F-43m (No. 216) and the conventional cell measures 6.271, 6.271 and 6.271 Å, with angles of 90.00, 90.00 and 90.00 degrees. The inequivalent atoms are Zn at (0.000, 0.000, 0.000), Zn at (0.250, 0.250, 0.250), Ag at (0.000, 0.000, 0.500) and Au at (0.250, 0.250, 0.750).

The energy of formation comes out at -0.07 eV per atom. The polymorph energy (0 for the lowest one) comes out at 98 meV per atom.

# 22
## SrCrSn2W (GGA-PBEsol)

Data for a relaxed SrCrSn2W crystal.

The space group is P4/mmm (No. 123) and the conventional cell measures 5.229, 5.229 and 4.817 Å, with angles of 90.00, 90.00 and 90.00 degrees. The inequivalent atoms are Sr at (0.000, 0.000, 0.000), Cr at (0.500, 0.500, 0.000), Sn at (0.000, 0.500, 0.500) and W at (0.500, 0.500, 0.500).

The energy of formation comes out at 0.47 eV per atom.

# 23
## Fe2NiAg (GGA-PBEsol)

Data for a relaxed Fe2NiAg crystal.

The space group is P4/mmm (No. 123) and the conventional cell measures 3.610, 3.610 and 3.805 Å, with angles of 90.00, 90.00 and 90.00 degrees. The inequivalent atoms are Fe at (0.000, 0.500, 0.000), Ni at (0.000, 0.000, 0.500) and Ag at (0.500, 0.500, 0.500).

The energy of formation comes out at 0.27 eV per atom. The polymorph energy (0 for the lowest one) comes out at 63 meV per atom.

# 24
## HfSiOs (GGA-PBEsol)

Data for a relaxed HfSiOs crystal.

The space group is Ima2 (No. 46) and the conventional cell measures 7.342, 11.374 and 6.604 Å, with angles of 90.00, 90.00 and 90.00 degrees. The inequivalent atoms are Hf at (0.250, 0.003, 0.000), Hf at (0.250, 0.220, 0.355), Hf at (0.250, 0.697, 0.878), Si at (0.007, 0.667, 0.579), Si at (0.250, 0.026, 0.589), Os at (0.000, 0.000, 0.334) and Os at (0.028, 0.624, 0.205).

The uncorrected formation energy is -0.9074 eV/atom.

# 25
## V2CrOs (GGA-PBEsol)

Data for a relaxed V2CrOs crystal.

The space group is Fm-3m (No. 225) and the conventional cell measures 5.874, 5.874 and 5.874 Å, with angles of 90.00, 90.00 and 90.00 degrees. The inequivalent atoms are V at (0.250, 0.250, 0.250), Cr at (0.000, 0.000, 0.000) and Os at (0.000, 0.000, 0.500).

The energy of formation comes out at -0.30 eV per atom.

# 26
## K3Hg (GGA-PBEsol)

Data for a relaxed K3Hg crystal.

The space group is Fm-3m (No. 225) and the conventional cell measures 8.949, 8.949 and 8.949 Å, with angles of 90.00, 90.00 and 90.00 degrees. The inequivalent atoms are K at (0.000, 0.000, 0.000), K at (0.250, 0.250, 0.250) and Hg at (0.000, 0.000, 0.500).

The energy of formation comes out at -0.04 eV per atom.

# 27
## Mg2TlAg (GGA-PBEsol)

Data for a relaxed Mg2TlAg crystal.

The space group is I-4m2 (No. 119) and the conventional cell measures 4.272, 4.272 and 9.028 Å, with angles of 90.00, 90.00 and 90.00 degrees. The inequivalent atoms are Mg at (0.000, 0.000, 0.000), Mg at (0.000, 0.500, 0.250), Tl at (0.000, 0.000, 0.500) and Ag at (0.000, 0.500, 0.750).

The energy of formation comes out at -0.07 eV per atom.

# 28
## ZnFe3B (GGA-PBEsol)

Data for a relaxed ZnFe3B crystal.

The space group is Pm-3m (No. 221) and the conventional cell measures 4.265, 4.265 and 4.265 Å, with angles of 90.00, 90.00 and 90.00 degrees. The inequivalent atoms are Zn at (0.000, 0.000, 0.000), Fe at (0.000, 0.000, 0.500) and B at (0.500, 0.500, 0.500).

The energy of formation comes out at 2.00 eV per atom.

# 29
## FeBiTe2 (GGA-PBEsol)

Data for a relaxed FeBiTe2 crystal.

The space group is I-42d (No. 122) and the conventional cell measures 6.644, 6.644 and 11.474 Å, with angles of 90.00, 90.00 and 90.00 degrees. The inequivalent atoms are Fe at (0.000, 0.000, 0.000), Bi at (0.000, 0.000, 0.500) and Te at (0.176, 0.250, 0.125).

The uncorrected formation energy is 0.2699 eV/atom.